First-principles (GGA+U) data for a relaxed structure of Ca2NiRuO6, as listed in Alexandria.

Values from the calculation:
**DFT total energy**: -6.20 eV/atom
**Total magnetic moment**: 4.0 μB/cell

CIF file:
```
data_Ca2NiRuO6
_chemical_formula_sum 'Ca2 Ni1 Ru1 O6'
_cell_length_a 3.9148
_cell_length_b 5.5023
_cell_length_c 5.5023
_cell_angle_alpha 90.00
_cell_angle_beta 90.00
_cell_angle_gamma 90.00
_space_group_name_H-M_alt 'P 1'
_space_group_IT_number 1
loop_
_space_group_symop_operation_xyz
'x,y,z'
loop_
_atom_site_label
_atom_site_fract_x
_atom_site_fract_y
_atom_site_fract_z
Ca1 0.1102 0.5000 0.0000
Ca2 0.1102 0.0000 0.5000
Ni1 0.6453 0.5000 0.5000
Ru1 0.6451 0.0000 0.0000
O1 0.6591 0.2452 0.2452
O2 0.6591 0.2452 0.7548
O3 0.1477 0.5000 0.5000
O4 0.1517 0.0000 0.0000
O5 0.6591 0.7548 0.7548
O6 0.6591 0.7548 0.2452
```